VASP calculation (PBE) on a relaxed structure of Ac2CuSnGe.

DOS at the Fermi energy (states/eV/f.u.): 3.7
Size of the total moment (μB per atom): 0.000
Total energy (eV/cell): -46.85

Cell lengths 4.645, 7.250, 9.600 Å; angles 106.52, 90.00, 90.00 degrees
Fractional coordinates of all 10 atoms:
Sn: 0.250 0.692 0.311
Ac: 0.750 0.781 0.599
Cu: 0.250 0.493 0.728
Ac: 0.250 0.257 0.957
Ac: 0.250 0.219 0.401
Cu: 0.750 0.507 0.272
Sn: 0.750 0.308 0.689
Ac: 0.750 0.743 0.043
Ge: 0.250 0.822 0.836
Ge: 0.750 0.178 0.164